No. 1
A plane-wave DFT calculation with PBE was carried out for Ca2Zn2PbO6 after structural relaxation.

Output
theoretical density	5.833	Mg/m³
SG	P-31m (162)
total energy	-5.3813	eV/atom
ΔE_f (raw)	-1744	meV/atom

```
Ca2Zn2PbO6
1.0
5.501 0.000 0.000
-2.750 4.764 0.000
0.000 0.000 5.585
Ca Zn Pb O
2 2 1 6
direct
0.333 0.667 0.000
0.667 0.333 0.000
0.333 0.667 0.500
0.667 0.333 0.500
0.000 0.000 0.500
0.000 0.347 0.717
0.000 0.653 0.283
0.347 0.000 0.717
0.347 0.347 0.283
0.653 0.000 0.283
0.653 0.653 0.717
```



No. 2
A plane-wave DFT calculation with PBE was carried out for Ca2ZrPbO6 after structural relaxation.

Output
theoretical density	5.560	Mg/m³
SG	R3 (146)
total energy	-7.0944	eV/atom
ΔE_f (raw)	-2494	meV/atom

```
Ca2ZrPbO6
1.0
2.880 1.663 4.931
-2.880 1.663 4.931
0.000 -3.326 4.931
Ca Zr Pb O
2 1 1 6
direct
0.000 0.000 0.000
0.500 0.500 0.500
0.721 0.721 0.721
0.221 0.221 0.221
0.067 0.851 0.442
0.359 0.582 0.928
0.442 0.067 0.851
0.582 0.928 0.359
0.851 0.442 0.067
0.928 0.359 0.582
```



No. 3
A plane-wave DFT calculation with PBE was carried out for CaZr2PbO after structural relaxation.

Output
relative energy among the computed polymorphs	0.000	eV per atom
theoretical density	7.327	Mg/m³
SG	P4/mmm (123)
total energy	-6.5912	eV/atom
ΔE_f (raw)	-1038	meV/atom

```
CaZr2PbO
1.0
4.500 0.000 0.000
0.000 4.500 0.000
0.000 0.000 4.989
Ca Zr Pb O
1 2 1 1
direct
0.000 0.000 0.000
0.000 0.500 0.500
0.500 0.000 0.500
0.500 0.500 0.000
0.000 0.000 0.500
```



No. 4
A plane-wave DFT calculation with PBE was carried out for CaZr2PbO after structural relaxation.

Output
relative energy among the computed polymorphs	0.198	eV per atom
theoretical density	6.596	Mg/m³
SG	P4/mmm (123)
total energy	-6.3927	eV/atom
ΔE_f (raw)	-840	meV/atom

```
CaZr2PbO
1.0
4.414 0.000 0.000
0.000 4.414 0.000
0.000 0.000 5.761
Ca Zr Pb O
1 2 1 1
direct
0.000 0.000 0.000
0.000 0.500 0.500
0.500 0.000 0.500
0.500 0.500 0.000
0.500 0.500 0.500
```



No. 5
A plane-wave DFT calculation with PBE was carried out for CaPdO2 after structural relaxation.

Output
theoretical density	5.685	Mg/m³
SG	Pnma (62)
total energy	-5.7421	eV/atom
ΔE_f (raw)	-1464	meV/atom

```
CaPdO2
1.0
6.079 0.000 0.000
0.000 3.076 0.000
0.000 0.000 11.154
Ca Pd O
4 4 8
direct
0.127 0.250 0.155
0.373 0.750 0.655
0.627 0.250 0.345
0.873 0.750 0.845
0.135 0.750 0.407
0.365 0.250 0.907
0.635 0.750 0.093
0.865 0.250 0.593
0.096 0.250 0.730
0.185 0.750 0.984
0.315 0.250 0.484
0.404 0.750 0.230
0.596 0.250 0.770
0.685 0.750 0.516
0.815 0.250 0.016
0.904 0.750 0.270
```



No. 6
A plane-wave DFT calculation with PBE was carried out for Ca2PdO4 after structural relaxation.

Output
theoretical density	4.880	Mg/m³
SG	C2/m (12)
total energy	-5.9637	eV/atom
ΔE_f (raw)	-1817	meV/atom

```
Ca2PdO4
1.0
4.765 -1.588 0.000
4.765 1.588 0.000
-2.757 0.000 5.635
Ca Pd O
2 1 4
direct
0.163 0.163 0.176
0.837 0.837 0.824
0.500 0.500 0.500
0.150 0.150 0.552
0.438 0.438 0.143
0.562 0.562 0.857
0.850 0.850 0.448
```



No. 7
A plane-wave DFT calculation with PBE was carried out for CaPdO2 after structural relaxation.

Output
theoretical density	4.774	Mg/m³
SG	R-3m (166)
total energy	-5.7082	eV/atom
ΔE_f (raw)	-1431	meV/atom

```
CaPdO2
1.0
1.697 0.980 6.220
-1.697 0.980 6.220
0.000 -1.960 6.220
Ca Pd O
1 1 2
direct
0.000 0.000 0.000
0.500 0.500 0.500
0.397 0.397 0.397
0.603 0.603 0.603
```



No. 8
A plane-wave DFT calculation with PBE was carried out for CaPd3O after structural relaxation.

Output
relative energy among the computed polymorphs	0.000	eV per atom
theoretical density	7.524	Mg/m³
SG	Pm-3m (221)
total energy	-4.9398	eV/atom
ΔE_f (raw)	-432	meV/atom

```
CaPd3O
1.0
4.359 0.000 0.000
0.000 4.359 0.000
0.000 0.000 4.359
Ca Pd O
1 3 1
direct
0.000 0.000 0.000
0.000 0.500 0.500
0.500 0.000 0.500
0.500 0.500 0.000
0.500 0.500 0.500
```



No. 9
A plane-wave DFT calculation with PBE was carried out for CaPd2O after structural relaxation.

Output
theoretical density	5.264	Mg/m³
SG	I4_1/amd (141)
total energy	-4.8161	eV/atom
ΔE_f (raw)	-480	meV/atom

```
CaPd2O
1.0
-2.589 2.589 6.329
2.589 -2.589 6.329
2.589 2.589 -6.329
Ca Pd O
2 4 2
direct
0.375 0.625 0.750
0.625 0.375 0.250
0.000 0.000 0.000
0.000 0.000 0.500
0.000 0.500 0.000
0.500 0.000 0.500
0.125 0.875 0.250
0.875 0.125 0.750
```



No. 10
A plane-wave DFT calculation with PBE was carried out for CaPdO2 after structural relaxation.

Output
theoretical density	4.790	Mg/m³
SG	I-42d (122)
total energy	-5.5703	eV/atom
ΔE_f (raw)	-1293	meV/atom

```
CaPdO2
1.0
-2.267 2.267 6.023
2.267 -2.267 6.023
2.267 2.267 -6.023
Ca Pd O
2 2 4
direct
0.000 0.000 0.000
0.750 0.250 0.500
0.250 0.750 0.500
0.500 0.500 0.000
0.167 0.625 0.042
0.375 0.417 0.542
0.583 0.125 0.958
0.875 0.833 0.458
```



No. 11
A plane-wave DFT calculation with PBE was carried out for CaPdO2 after structural relaxation.

Output
theoretical density	6.090	Mg/m³
SG	Fm-3m (225)
total energy	-5.3940	eV/atom
ΔE_f (raw)	-1116	meV/atom

```
CaPdO2
1.0
0.000 2.898 2.898
2.898 0.000 2.898
2.898 2.898 0.000
Ca Pd O
1 1 2
direct
0.000 0.000 0.000
0.500 0.500 0.500
0.250 0.250 0.250
0.750 0.750 0.750
```



No. 12
A plane-wave DFT calculation with PBE was carried out for CaPd2O4 after structural relaxation.

Output
theoretical density	5.924	Mg/m³
SG	I4_1/a (88)
total energy	-5.7516	eV/atom
ΔE_f (raw)	-1149	meV/atom

```
CaPd2O4
1.0
-2.932 2.932 5.165
2.932 -2.932 5.165
2.932 2.932 -5.165
Ca Pd O
2 4 8
direct
0.375 0.125 0.250
0.625 0.875 0.750
0.000 0.000 0.500
0.000 0.500 0.000
0.000 0.500 0.500
0.500 0.500 0.000
0.015 0.126 0.299
0.215 0.515 0.389
0.327 0.715 0.201
0.374 0.173 0.889
0.626 0.827 0.111
0.673 0.285 0.799
0.785 0.485 0.611
0.985 0.874 0.701
```



No. 13
A plane-wave DFT calculation with PBE was carried out for Ca5PdO6 after structural relaxation.

Output
theoretical density	4.061	Mg/m³
SG	C2/m (12)
total energy	-6.2086	eV/atom
ΔE_f (raw)	-2463	meV/atom

```
Ca5PdO6
1.0
2.933 -5.084 0.000
2.933 5.084 0.000
-1.937 0.000 5.522
Ca Pd O
5 1 6
direct
0.000 0.000 0.000
0.168 0.832 0.500
0.337 0.663 0.000
0.663 0.337 0.000
0.832 0.168 0.500
0.500 0.500 0.500
0.079 0.415 0.247
0.248 0.248 0.751
0.415 0.079 0.247
0.585 0.921 0.753
0.752 0.752 0.249
0.921 0.585 0.753
```



No. 14
A plane-wave DFT calculation with PBE was carried out for CaPd3O4 after structural relaxation.

Output
theoretical density	7.063	Mg/m³
SG	Pm-3n (223)
total energy	-5.8334	eV/atom
ΔE_f (raw)	-1157	meV/atom

```
CaPd3O4
1.0
5.839 0.000 0.000
0.000 5.839 0.000
0.000 0.000 5.839
Ca Pd O
2 6 8
direct
0.000 0.000 0.000
0.500 0.500 0.500
0.000 0.250 0.500
0.000 0.750 0.500
0.250 0.500 0.000
0.500 0.000 0.250
0.500 0.000 0.750
0.750 0.500 0.000
0.250 0.250 0.250
0.250 0.250 0.750
0.250 0.750 0.250
0.250 0.750 0.750
0.750 0.250 0.250
0.750 0.250 0.750
0.750 0.750 0.250
0.750 0.750 0.750
```



No. 15
A plane-wave DFT calculation with PBE was carried out for Ca12Pd3O5 after structural relaxation.

Output
theoretical density	3.139	Mg/m³
SG	Ia-3d (230)
total energy	-4.7869	eV/atom
ΔE_f (raw)	-1568	meV/atom

```
Ca12Pd3O5
1.0
-7.751 7.751 7.751
7.751 -7.751 7.751
7.751 7.751 -7.751
Ca Pd O
48 12 20
direct
0.017 0.200 0.120
0.017 0.317 0.897
0.080 0.700 0.683
0.080 0.880 0.397
0.103 0.620 0.420
0.103 0.983 0.683
0.120 0.017 0.200
0.120 0.603 0.920
0.183 0.200 0.580
0.183 0.483 0.603
0.200 0.120 0.017
0.200 0.580 0.183
0.300 0.317 0.920
0.300 0.483 0.380
0.317 0.897 0.017
0.317 0.920 0.300
0.380 0.300 0.483
0.380 0.580 0.897
0.397 0.080 0.880
0.397 0.817 0.517
0.420 0.103 0.620
0.420 0.817 0.800
0.483 0.380 0.300
0.483 0.603 0.183
0.517 0.397 0.817
0.517 0.620 0.700
0.580 0.183 0.200
0.580 0.897 0.380
0.603 0.183 0.483
0.603 0.920 0.120
0.620 0.420 0.103
0.620 0.700 0.517
0.683 0.080 0.700
0.683 0.103 0.983
0.700 0.517 0.620
0.700 0.683 0.080
0.800 0.420 0.817
0.800 0.880 0.983
0.817 0.517 0.397
0.817 0.800 0.420
0.880 0.397 0.080
0.880 0.983 0.800
0.897 0.017 0.317
0.897 0.380 0.580
0.920 0.120 0.603
0.920 0.300 0.317
0.983 0.683 0.103
0.983 0.800 0.880
0.125 0.250 0.375
0.125 0.375 0.750
0.250 0.375 0.125
0.250 0.875 0.625
0.375 0.125 0.250
0.375 0.750 0.125
0.625 0.250 0.875
0.625 0.875 0.750
0.750 0.125 0.375
0.750 0.625 0.875
0.875 0.625 0.250
0.875 0.750 0.625
0.000 0.000 0.000
0.000 0.000 0.500
0.000 0.500 0.000
0.000 0.500 0.500
0.125 0.750 0.875
0.125 0.875 0.250
0.250 0.125 0.875
0.250 0.625 0.375
0.375 0.250 0.625
0.375 0.625 0.750
0.500 0.000 0.000
0.500 0.000 0.500
0.500 0.500 0.000
0.500 0.500 0.500
0.625 0.375 0.250
0.625 0.750 0.375
0.750 0.375 0.625
0.750 0.875 0.125
0.875 0.125 0.750
0.875 0.250 0.125
```



No. 16
A plane-wave DFT calculation with PBE was carried out for CaPd3O after structural relaxation.

Output
relative energy among the computed polymorphs	1.702	eV per atom
theoretical density	4.997	Mg/m³
SG	Pm-3m (221)
total energy	-3.2379	eV/atom
ΔE_f (raw)	1270	meV/atom

```
CaPd3O
1.0
4.996 0.000 0.000
0.000 4.996 0.000
0.000 0.000 4.996
Ca Pd O
1 3 1
direct
0.000 0.000 0.000
0.000 0.000 0.500
0.000 0.500 0.000
0.500 0.000 0.000
0.500 0.500 0.500
```



No. 17
A plane-wave DFT calculation with PBE was carried out for Ca2PmPdO4 after structural relaxation.

Output
theoretical density	5.682	Mg/m³
SG	P2/m (10)
total energy	-6.5886	eV/atom
ΔE_f (raw)	-2366	meV/atom

```
Ca2PmPdO4
1.0
6.003 0.000 0.000
0.000 3.405 0.000
-2.574 0.000 5.655
Ca Pm Pd O
2 1 1 4
direct
0.000 0.000 0.000
0.500 0.500 0.000
0.000 0.500 0.500
0.500 0.000 0.500
0.218 0.000 0.776
0.247 0.500 0.259
0.753 0.500 0.741
0.782 0.000 0.224
```



No. 18
A plane-wave DFT calculation with PBE was carried out for Ca2PmPdO5 after structural relaxation.

Output
theoretical density	5.655	Mg/m³
SG	I4/mcm (140)
total energy	-6.2924	eV/atom
ΔE_f (raw)	-1988	meV/atom

```
Ca2PmPdO5
1.0
-3.168 3.168 6.021
3.168 -3.168 6.021
3.168 3.168 -6.021
Ca Pm Pd O
4 2 2 10
direct
0.167 0.667 0.835
0.333 0.167 0.500
0.667 0.833 0.500
0.833 0.333 0.165
0.250 0.250 0.000
0.750 0.750 0.000
0.250 0.750 0.500
0.750 0.250 0.500
0.000 0.000 0.000
0.026 0.202 0.500
0.202 0.702 0.176
0.298 0.474 0.500
0.474 0.974 0.176
0.500 0.500 0.000
0.526 0.026 0.824
0.702 0.526 0.500
0.798 0.298 0.824
0.974 0.798 0.500
```



No. 19
A plane-wave DFT calculation with PBE was carried out for CaPm2PdO6 after structural relaxation.

Output
theoretical density	6.545	Mg/m³
SG	P2_1/c (14)
total energy	-7.0775	eV/atom
ΔE_f (raw)	-2433	meV/atom

```
CaPm2PdO6
1.0
5.599 0.000 0.000
0.000 5.943 0.000
-5.542 0.000 8.119
Ca Pm Pd O
2 4 2 12
direct
0.000 0.000 0.000
0.000 0.500 0.500
0.270 0.065 0.747
0.270 0.435 0.247
0.730 0.565 0.753
0.730 0.935 0.253
0.500 0.000 0.500
0.500 0.500 0.000
0.140 0.057 0.268
0.140 0.443 0.768
0.264 0.683 0.059
0.264 0.817 0.559
0.397 0.213 0.072
0.397 0.287 0.572
0.603 0.713 0.428
0.603 0.787 0.928
0.736 0.183 0.441
0.736 0.317 0.941
0.860 0.557 0.232
0.860 0.943 0.732
```